Record 1
The following is a DFT calculation (SCAN) of SmFeC2 at its PBEsol-relaxed geometry. Values from VASP.

The structure in Quantum ESPRESSO input format:
```
&SYSTEM
  ibrav = 0, nat = 8, ntyp = 3
/
ATOMIC_SPECIES
Sm 150.36 Sm.upf
Fe 55.84 Fe.upf
C 12.01 C.upf
ATOMIC_POSITIONS crystal
Sm 0.0000 0.0000 0.0000
Sm 0.0000 0.5000 0.5000
Fe 0.5000 0.0000 0.6081
Fe 0.5000 0.5000 0.1081
C 0.5000 0.1567 0.2920
C 0.5000 0.3433 0.7920
C 0.5000 0.6567 0.7920
C 0.5000 0.8433 0.2920
CELL_PARAMETERS angstrom
3.7958 0.0000 0.0000
0.0000 4.4973 0.0000
0.0000 0.0000 5.8178
```

Energy of formation = -0.23 eV per atom

---

Record 2
The following is a DFT calculation (SCAN) of CaBiClO2 at its PBEsol-relaxed geometry. Values from VASP.

The structure in Quantum ESPRESSO input format:
```
&SYSTEM
  ibrav = 0, nat = 10, ntyp = 4
/
ATOMIC_SPECIES
Ca 40.08 Ca.upf
Bi 208.98 Bi.upf
Cl 35.45 Cl.upf
O 16.00 O.upf
ATOMIC_POSITIONS crystal
Ca 0.1716 0.2500 0.4198
Ca 0.8284 0.7500 0.5802
Bi 0.1814 0.2500 0.9074
Bi 0.8186 0.7500 0.0926
Cl 0.4408 0.7500 0.6875
Cl 0.5592 0.2500 0.3125
O 0.0120 0.7500 0.3577
O 0.0288 0.7500 0.9011
O 0.9712 0.2500 0.0989
O 0.9880 0.2500 0.6423
CELL_PARAMETERS angstrom
6.3410 0.0000 0.0000
0.0000 4.1084 0.0000
-1.9487 0.0000 7.4547
```

Energy relative to the elements, uncorrected = -205 kJ per mole of atoms

---

Record 3
The following is a DFT calculation (SCAN) of ScAgOs2S at its PBEsol-relaxed geometry. Values from VASP.

The structure in Quantum ESPRESSO input format:
```
&SYSTEM
  ibrav = 0, nat = 5, ntyp = 4
/
ATOMIC_SPECIES
Sc 44.96 Sc.upf
Ag 107.87 Ag.upf
Os 190.23 Os.upf
S 32.06 S.upf
ATOMIC_POSITIONS crystal
Sc 0.0000 0.0000 0.0000
Ag 0.5000 0.5000 0.0000
Os 0.0000 0.5000 0.5000
Os 0.5000 0.0000 0.5000
S 0.0000 0.0000 0.5000
CELL_PARAMETERS angstrom
4.3039 0.0000 0.0000
0.0000 4.3039 0.0000
0.0000 0.0000 4.6294
```

Energy relative to the elements, uncorrected = 41 kJ per mole of atoms

---

Record 4
The following is a DFT calculation (SCAN) of LiHg2Au2 at its PBEsol-relaxed geometry. Values from VASP.

The structure in Quantum ESPRESSO input format:
```
&SYSTEM
  ibrav = 0, nat = 10, ntyp = 3
/
ATOMIC_SPECIES
Li 6.94 Li.upf
Hg 200.59 Hg.upf
Au 196.97 Au.upf
ATOMIC_POSITIONS crystal
Li 0.0000 0.0000 0.0000
Li 0.5000 0.5000 0.5000
Hg 0.0000 0.0000 0.4021
Hg 0.0000 0.0000 0.5979
Hg 0.5000 0.5000 0.0979
Hg 0.5000 0.5000 0.9021
Au 0.0000 0.5000 0.2500
Au 0.0000 0.5000 0.7500
Au 0.5000 0.0000 0.2500
Au 0.5000 0.0000 0.7500
CELL_PARAMETERS angstrom
3.8444 0.0000 0.0000
0.0000 3.8444 0.0000
0.0000 0.0000 14.0772
```

Energy of formation = -0.15 eV per atom

---

Number 1: ρ 7.70 g cm⁻³. Number 2: ρ 5.41 g cm⁻³. Number 3: ρ 10.95 g cm⁻³. Number 4: ρ 12.80 g cm⁻³.